[1]
Below is a geometry-optimized Na3In4Ag2 structure, with properties calculated at the PBE level.

Cell lengths 6.0885, 6.0885, 8.6058 Å; angles 104.32, 104.32, 46.72 degrees
Last column: nearest neighbours and their distance in Å.
Positions (direct):
Na 0.0000 0.0000 0.0000  2 Ag 3.07, 4 In 3.23
Na 0.4755 0.4755 0.6923  1 Ag 3.04, 3 In 3.21-3.27
Na 0.5245 0.5245 0.3077  1 Ag 3.04, 3 In 3.21-3.27
In 0.1517 0.1517 0.5521  3 Ag 2.91-2.93, 1 In 3.25
In 0.3001 0.3001 0.9331  3 Ag 2.93-3.10, 3 In 3.02-3.25, 3 Na 3.21-3.23
In 0.6999 0.6999 0.0669  3 Ag 2.93-3.10, 3 In 3.02-3.25, 3 Na 3.21-3.23
In 0.8483 0.8483 0.4479  3 Ag 2.91-2.93, 1 In 3.25
Ag 0.2456 0.2456 0.2681  6 In 2.91-3.10, 2 Na 3.04-3.07
Ag 0.7544 0.7544 0.7319  6 In 2.91-3.10, 2 Na 3.04-3.07

## Properties
E: -2.40 eV/atom
Total moment: 0.00 μB/atom
ΔE_f: -2.51 kcal/mol of atoms
ρ: 5.52 g cm⁻³
Crystal system: monoclinic

---

[2]
Below is a geometry-optimized BeHBr2 structure, with properties calculated at the PBE level.

Cell lengths 7.1275, 7.1275, 7.1275 Å; angles 99.01, 99.01, 133.37 degrees
Last column: nearest neighbours and their distance in Å.
Positions (direct):
Be 0.2500 0.7500 0.5000  4 Br 2.20
Be 0.7500 0.2500 0.5000  4 Br 2.20
H 0.0000 0.0000 0.0000  2 H 2.82
H 0.5000 0.5000 0.0000  2 H 2.82
Br 0.1292 0.6292 0.7584  2 Be 2.20
Br 0.3708 0.1292 0.5000  2 Be 2.20
Br 0.6292 0.8708 0.5000  2 Be 2.20
Br 0.8708 0.3708 0.2416  2 Be 2.20

## Properties
E: -2.81 eV/atom
Total moment: 0.25 μB/atom
ρ: 2.33 g cm⁻³
Crystal system: tetragonal